No. 1
NbCu2AuBr: relaxed, GGA-PBE.

Output
ρ: 8.4 g/cm3
E: -18.16 eV for the cell shown

a = 4.5128 Å, b = 4.8300 Å, c = 4.5128 Å
α = 90.00°, β = 90.00°, γ = 90.00°
Last column: nearest neighbours and their distance in Å.
Sites, in units of the cell vectors:
Nb: 0.0000 0.5000 0.0000  2 Br 2.41
Au: 0.5000 0.5000 0.5000  4 Nb 3.19, 8 Cu 3.31
Cu: 0.0000 0.0000 0.5000  2 Br 2.26
Cu: 0.5000 0.0000 0.0000  2 Br 2.26
Br: 0.0000 0.0000 0.0000  4 Cu 2.26, 2 Nb 2.41

***

No. 2
Pr6Cu2AuBr3: relaxed, GGA-PBE.

Output
ρ: 6.7 g/cm3
E: -54.16 eV for the cell shown

a = 7.3820 Å, b = 7.3820 Å, c = 7.7602 Å
α = 99.12°, β = 99.12°, γ = 119.86°
Last column: nearest neighbours and their distance in Å.
Sites, in units of the cell vectors:
Pr: 0.9241 0.5814 0.7748  2 Cu 2.92-2.94, 1 Au 3.03, 3 Br 3.17-3.22
Pr: 0.7285 0.7285 0.2185  2 Cu 2.93, 1 Au 3.01, 3 Br 3.16-3.21
Pr: 0.0759 0.4186 0.2252  2 Cu 2.92-2.94, 1 Au 3.03, 3 Br 3.17-3.22
Pr: 0.5814 0.9241 0.7748  2 Cu 2.92-2.94, 1 Au 3.03, 3 Br 3.17-3.22
Pr: 0.2715 0.2715 0.7815  2 Cu 2.93, 1 Au 3.01, 3 Br 3.16-3.21
Pr: 0.4186 0.0759 0.2252  2 Cu 2.92-2.94, 1 Au 3.03, 3 Br 3.17-3.22
Cu: 0.3311 0.6689 0.0000  6 Pr 2.92-2.94
Cu: 0.6689 0.3311 0.0000  6 Pr 2.92-2.94
Au: 0.0000 0.0000 0.0000  6 Pr 3.01-3.03
Br: 0.1622 0.8378 0.5000  6 Pr 3.17-3.22
Br: 0.8378 0.1622 0.5000  6 Pr 3.17-3.22
Br: 0.5000 0.5000 0.5000  6 Pr 3.16-3.21

***

No. 3
CuPtAuBr2: relaxed, GGA-PBE.

Output
ρ: 9.0 g/cm3
E: -13.33 eV for the cell shown

a = 4.7616 Å, b = 4.9833 Å, c = 4.7616 Å
α = 90.00°, β = 90.00°, γ = 90.00°
Last column: nearest neighbours and their distance in Å.
Sites, in units of the cell vectors:
Cu: 0.0000 0.0000 0.0000  4 Br 2.38, 2 Pt 2.49
Au: 0.5000 0.5000 0.5000  4 Pt 3.37, 8 Br 3.45
Br: 0.0000 0.0000 0.5000  2 Cu 2.38
Br: 0.5000 0.0000 0.0000  2 Cu 2.38
Pt: 0.0000 0.5000 0.0000  2 Cu 2.49

***

No. 4
Rb3CuAu2Br6: relaxed, GGA-PBE.

Output
ρ: 4.0 g/cm3
E: -33.20 eV for the cell shown

a = 8.1066 Å, b = 8.1066 Å, c = 8.8069 Å
α = 90.00°, β = 90.00°, γ = 120.00°
Last column: nearest neighbours and their distance in Å.
Sites, in units of the cell vectors:
Rb: 0.3333 0.6667 0.6680  1 Au 3.38
Rb: 0.6667 0.3333 0.3320  1 Au 3.38
Rb: 0.0000 0.0000 0.0000  6 Br 3.42
Cu: 0.0000 0.0000 0.5000  6 Br 2.71
Au: 0.6667 0.3333 0.7153  3 Br 2.59
Au: 0.3333 0.6667 0.2847  3 Br 2.59
Br: 0.7009 0.8504 0.3063  1 Au 2.59, 1 Cu 2.71
Br: 0.1496 0.2991 0.3063  1 Au 2.59, 1 Cu 2.71
Br: 0.1496 0.8504 0.3063  1 Au 2.59, 1 Cu 2.71
Br: 0.8504 0.7009 0.6937  1 Au 2.59, 1 Cu 2.71
Br: 0.2991 0.1496 0.6937  1 Au 2.59, 1 Cu 2.71
Br: 0.8504 0.1496 0.6937  1 Au 2.59, 1 Cu 2.71

***

No. 5
Rb3Cu2AuBr9: relaxed, GGA-PBE.

Output
ρ: 4.9 g/cm3
E: -41.99 eV for the cell shown

a = 7.4632 Å, b = 7.4632 Å, c = 9.1469 Å
α = 90.00°, β = 90.00°, γ = 120.00°
Last column: nearest neighbours and their distance in Å.
Sites, in units of the cell vectors:
Rb: 0.3333 0.6667 0.6717  12 Br 3.70-3.77
Rb: 0.0000 0.0000 0.0000  12 Br 3.73
Rb: 0.6667 0.3333 0.3283  12 Br 3.70-3.77
Cu: 0.3333 0.6667 0.1598  6 Br 2.60-2.61
Cu: 0.6667 0.3333 0.8402  6 Br 2.60-2.61
Au: 0.0000 0.0000 0.5000  6 Br 2.71
Br: 0.8291 0.1709 0.6709  1 Cu 2.61, 1 Au 2.71
Br: 0.8291 0.6581 0.6709  1 Cu 2.61, 1 Au 2.71
Br: 0.3419 0.1709 0.6709  1 Cu 2.61, 1 Au 2.71
Br: 0.6581 0.8291 0.3291  1 Cu 2.61, 1 Au 2.71
Br: 0.1709 0.3419 0.3291  1 Cu 2.61, 1 Au 2.71
Br: 0.1709 0.8291 0.3291  1 Cu 2.61, 1 Au 2.71
Br: 0.5000 0.0000 0.0000  2 Cu 2.60
Br: 0.0000 0.5000 0.0000  2 Cu 2.60
Br: 0.5000 0.5000 0.0000  2 Cu 2.60

***

No. 6
Rb2CuAuBr: relaxed, GGA-PBE.

Output
ρ: 4.1 g/cm3
E: -13.49 eV for the cell shown

a = 6.5219 Å, b = 4.8857 Å, c = 6.5219 Å
α = 90.00°, β = 90.00°, γ = 90.00°
Last column: nearest neighbours and their distance in Å.
Sites, in units of the cell vectors:
Cu: 0.0000 0.5000 0.0000  2 Au 2.44
Au: 0.0000 0.0000 0.0000  2 Cu 2.44
Br: 0.5000 0.5000 0.5000  8 Rb 4.07
Rb: 0.0000 0.0000 0.5000  2 Au 3.26
Rb: 0.5000 0.0000 0.0000  2 Au 3.26

***

No. 7
Rb3Cu2AuBr8: relaxed, GGA-PBE.

Output
ρ: 4.2 g/cm3
E: -39.99 eV for the cell shown

a = 7.5176 Å, b = 7.5176 Å, c = 9.7893 Å
α = 90.00°, β = 90.00°, γ = 120.00°
Last column: nearest neighbours and their distance in Å.
Sites, in units of the cell vectors:
Rb: 0.3333 0.6667 0.6259  4 Br 3.37-3.63
Rb: 0.6667 0.3333 0.3741  4 Br 3.37-3.63
Rb: 0.0000 0.0000 0.0000  6 Br 3.88
Cu: 0.3333 0.6667 0.2056  4 Br 2.31-2.47
Cu: 0.6667 0.3333 0.7944  4 Br 2.31-2.47
Au: 0.0000 0.0000 0.5000  6 Br 2.75
Br: 0.3333 0.6667 0.9700  1 Cu 2.31
Br: 0.6667 0.3333 0.0300  1 Cu 2.31
Br: 0.1675 0.8325 0.3283  1 Cu 2.47, 1 Au 2.75
Br: 0.8325 0.1675 0.6717  1 Cu 2.47, 1 Au 2.75
Br: 0.1675 0.3350 0.3283  1 Cu 2.47, 1 Au 2.75
Br: 0.8325 0.6650 0.6717  1 Cu 2.47, 1 Au 2.75
Br: 0.6650 0.8325 0.3283  1 Cu 2.47, 1 Au 2.75
Br: 0.3350 0.1675 0.6717  1 Cu 2.47, 1 Au 2.75

***

No. 8
RbCuAuBr6: relaxed, GGA-PBE.

Output
ρ: 3.7 g/cm3
E: -23.32 eV for the cell shown

a = 10.5860 Å, b = 6.3919 Å, c = 6.8386 Å
α = 70.78°, β = 74.50°, γ = 57.41°
Last column: nearest neighbours and their distance in Å.
Sites, in units of the cell vectors:
Rb: 0.9775 0.0337 0.0078  6 Br 3.47-3.69
Cu: 0.6593 0.6764 0.4615  4 Br 2.35-2.47
Au: 0.3483 0.3083 0.5299  4 Br 2.46-2.52
Br: 0.8814 0.5430 0.2209  1 Cu 2.38
Br: 0.4484 0.8556 0.7287  1 Cu 2.47, 1 Au 2.49
Br: 0.7168 0.2650 0.6654  1 Cu 2.35
Br: 0.1400 0.4553 0.8105  1 Au 2.47
Br: 0.2710 0.7465 0.3216  1 Au 2.46
Br: 0.5571 0.1162 0.2538  1 Cu 2.45, 1 Au 2.52

***

No. 9
RbCu2AuBr8: relaxed, GGA-PBE.

Output
ρ: 4.6 g/cm3
E: -30.98 eV for the cell shown

a = 6.8254 Å, b = 6.8254 Å, c = 9.4773 Å
α = 90.00°, β = 90.00°, γ = 120.00°
Last column: nearest neighbours and their distance in Å.
Sites, in units of the cell vectors:
Rb: 0.0000 0.0000 0.0000  12 Br 3.79-3.94
Cu: 0.6667 0.3333 0.2661  4 Br 2.34-2.40
Cu: 0.3333 0.6667 0.7339  4 Br 2.34-2.40
Au: 0.0000 0.0000 0.5000  6 Br 2.64
Br: 0.3333 0.6667 0.9810  1 Cu 2.34
Br: 0.3127 0.3035 0.3321  1 Cu 2.40, 1 Au 2.64
Br: 0.6965 0.0093 0.3321  1 Cu 2.40, 1 Au 2.64
Br: 0.6667 0.3333 0.0190  1 Cu 2.34
Br: 0.3035 0.9907 0.6679  1 Cu 2.40, 1 Au 2.64
Br: 0.6873 0.6965 0.6679  1 Cu 2.40, 1 Au 2.64
Br: 0.0093 0.3127 0.6679  1 Cu 2.40, 1 Au 2.64
Br: 0.9907 0.6873 0.3321  1 Cu 2.40, 1 Au 2.64

***

No. 10
Rb3CuAu2Br9: relaxed, GGA-PBE.

Output
ρ: 5.2 g/cm3
E: -40.85 eV for the cell shown

a = 7.5706 Å, b = 7.5706 Å, c = 9.2874 Å
α = 90.00°, β = 90.00°, γ = 120.00°
Last column: nearest neighbours and their distance in Å.
Sites, in units of the cell vectors:
Rb: 0.3333 0.6667 0.6614  12 Br 3.75-3.83
Rb: 0.0000 0.0000 0.0000  12 Br 3.79
Rb: 0.6667 0.3333 0.3386  12 Br 3.75-3.83
Cu: 0.0000 0.0000 0.5000  6 Br 2.61
Au: 0.3333 0.6667 0.1720  6 Br 2.71-2.72
Au: 0.6667 0.3333 0.8280  6 Br 2.71-2.72
Br: 0.8380 0.1620 0.6624  1 Cu 2.61, 1 Au 2.72
Br: 0.8380 0.6760 0.6624  1 Cu 2.61, 1 Au 2.72
Br: 0.3240 0.1620 0.6624  1 Cu 2.61, 1 Au 2.72
Br: 0.6760 0.8380 0.3376  1 Cu 2.61, 1 Au 2.72
Br: 0.1620 0.3240 0.3376  1 Cu 2.61, 1 Au 2.72
Br: 0.1620 0.8380 0.3376  1 Cu 2.61, 1 Au 2.72
Br: 0.5000 0.0000 0.0000  2 Au 2.71
Br: 0.0000 0.5000 0.0000  2 Au 2.71
Br: 0.5000 0.5000 0.0000  2 Au 2.71

***

| no. | uncorrected formation energy (meV per atom) |
| --- | --- |
| 1 | 1011 |
| 2 | -749 |
| 3 | 686 |
| 4 | -801 |
| 5 | -838 |
| 6 | -501 |
| 7 | -874 |
| 8 | -549 |
| 9 | -430 |
| 10 | -816 |